# 1
DFT (PBE) results for crystalline MnOs3Ru at its relaxed geometry.

Cell and atoms, written as CIF:
```
data_MnOs3Ru
_chemical_formula_sum 'Mn4 Os12 Ru4'
_symmetry_space_group_name_H-M 'C 1 2/m 1'
_symmetry_Int_Tables_number 12
_symmetry_space_group_name_Hall '-C 2y'
_cell_length_a 13.6246
_cell_length_b 4.1056
_cell_length_c 5.3577
_cell_angle_alpha 90.00
_cell_angle_beta 113.04
_cell_angle_gamma 90.00
loop_
_atom_site_label
_atom_site_type_symbol
_atom_site_fract_x
_atom_site_fract_y
_atom_site_fract_z
_atom_site_occupancy
Mn1 Mn 0.2080 0.0000 0.4578 1
Os1 Os 0.0057 0.0000 0.2557 1
Os2 Os 0.1115 0.5000 0.6059 1
Os3 Os 0.1988 0.0000 0.9503 1
Ru1 Ru 0.1122 0.5000 0.1182 1
```

Computed properties:
Energy relative to the lowest polymorph listed for this composition in kcal/mol of atoms: 0.000
DFT total energy in eV per atom: -10.253

***

# 2
DFT (PBE) results for crystalline Mn2OsRu at its relaxed geometry.

Cell and atoms, written as CIF:
```
data_Mn2OsRu
_chemical_formula_sum 'Mn4 Os2 Ru2'
_symmetry_space_group_name_H-M 'I 4/m m m'
_symmetry_Int_Tables_number 139
_symmetry_space_group_name_Hall '-I 4 2'
_cell_length_a 3.7430
_cell_length_b 3.7430
_cell_length_c 7.2869
_cell_angle_alpha 90.00
_cell_angle_beta 90.00
_cell_angle_gamma 90.00
loop_
_atom_site_label
_atom_site_type_symbol
_atom_site_fract_x
_atom_site_fract_y
_atom_site_fract_z
_atom_site_occupancy
Mn1 Mn 0.0000 0.5000 0.2500 1
Os1 Os 0.0000 0.0000 0.0000 1
Ru1 Ru 0.0000 0.0000 0.5000 1
```

Computed properties:
DFT total energy in eV per atom: -9.627

***

# 3
DFT (PBE) results for crystalline Mn2Os2Ru at its relaxed geometry.

Cell and atoms, written as CIF:
```
data_Mn2Os2Ru
_chemical_formula_sum 'Mn8 Os8 Ru4'
_symmetry_space_group_name_H-M 'C 1 2/m 1'
_symmetry_Int_Tables_number 12
_symmetry_space_group_name_Hall '-C 2y'
_cell_length_a 7.2320
_cell_length_b 4.2788
_cell_length_c 9.3440
_cell_angle_alpha 90.00
_cell_angle_beta 108.05
_cell_angle_gamma 90.00
loop_
_atom_site_label
_atom_site_type_symbol
_atom_site_fract_x
_atom_site_fract_y
_atom_site_fract_z
_atom_site_occupancy
Mn1 Mn 0.0578 0.0000 0.1529 1
Mn2 Mn 0.1573 0.0000 0.4585 1
Os1 Os 0.0198 0.5000 0.6378 1
Os2 Os 0.1426 0.5000 0.9329 1
Ru1 Ru 0.2448 0.0000 0.7628 1
```

Computed properties:
Energy relative to the lowest polymorph listed for this composition in kcal/mol of atoms: 2.639
DFT total energy in eV per atom: -9.711

***

# 4
DFT (PBE) results for crystalline Mn3OsRu at its relaxed geometry.

Cell and atoms, written as CIF:
```
data_Mn3OsRu
_chemical_formula_sum 'Mn12 Os4 Ru4'
_symmetry_space_group_name_H-M 'P 1 21/c 1'
_symmetry_Int_Tables_number 14
_symmetry_space_group_name_Hall '-P 2ybc'
_cell_length_a 6.5192
_cell_length_b 6.8736
_cell_length_c 5.7521
_cell_angle_alpha 90.00
_cell_angle_beta 96.54
_cell_angle_gamma 90.00
loop_
_atom_site_label
_atom_site_type_symbol
_atom_site_fract_x
_atom_site_fract_y
_atom_site_fract_z
_atom_site_occupancy
Mn1 Mn 0.0668 0.1794 0.4940 1
Mn2 Mn 0.0965 0.5262 0.3455 1
Mn3 Mn 0.3933 0.5282 0.1446 1
Os1 Os 0.4163 0.1828 0.0051 1
Ru1 Ru 0.2538 0.6317 0.7447 1
```

Computed properties:
Energy relative to the lowest polymorph listed for this composition in kcal/mol of atoms: 0.000
DFT total energy in eV per atom: -9.423

***

# 5
DFT (PBE) results for crystalline MnOs2Ru at its relaxed geometry.

Cell and atoms, written as CIF:
```
data_MnOs2Ru
_chemical_formula_sum 'Mn3 Os6 Ru3'
_symmetry_space_group_name_H-M 'R 3 m'
_symmetry_Int_Tables_number 160
_symmetry_space_group_name_Hall 'R 3 -2"'
_cell_length_a 4.3152
_cell_length_b 4.3152
_cell_length_c 10.9135
_cell_angle_alpha 90.00
_cell_angle_beta 90.00
_cell_angle_gamma 120.00
loop_
_atom_site_label
_atom_site_type_symbol
_atom_site_fract_x
_atom_site_fract_y
_atom_site_fract_z
_atom_site_occupancy
Mn1 Mn 0.0000 0.0000 0.0000 1
Os1 Os 0.0000 0.0000 0.2364 1
Os2 Os 0.0000 0.0000 0.4643 1
Ru1 Ru 0.0000 0.0000 0.7685 1
```

Computed properties:
Energy relative to the lowest polymorph listed for this composition in kcal/mol of atoms: 8.598
DFT total energy in eV per atom: -9.788

***

# 6
DFT (PBE) results for crystalline Mn2OsRu at its relaxed geometry.

Cell and atoms, written as CIF:
```
data_Mn2OsRu
_chemical_formula_sum 'Mn2 Os1 Ru1'
_symmetry_space_group_name_H-M 'P 4/m m m'
_symmetry_Int_Tables_number 123
_symmetry_space_group_name_Hall '-P 4 2'
_cell_length_a 3.7346
_cell_length_b 3.7346
_cell_length_c 3.6604
_cell_angle_alpha 90.00
_cell_angle_beta 90.00
_cell_angle_gamma 90.00
loop_
_atom_site_label
_atom_site_type_symbol
_atom_site_fract_x
_atom_site_fract_y
_atom_site_fract_z
_atom_site_occupancy
Mn1 Mn 0.0000 0.5000 0.0000 1
Os1 Os 0.0000 0.0000 0.5000 1
Ru1 Ru 0.5000 0.5000 0.5000 1
```

Computed properties:
DFT total energy in eV per atom: -9.625

***

# 7
DFT (PBE) results for crystalline MnOs3Ru at its relaxed geometry.

Cell and atoms, written as CIF:
```
data_MnOs3Ru
_chemical_formula_sum 'Mn1 Os3 Ru1'
_symmetry_space_group_name_H-M 'P m -3 m'
_symmetry_Int_Tables_number 221
_symmetry_space_group_name_Hall '-P 4 2 3'
_cell_length_a 4.3597
_cell_length_b 4.3597
_cell_length_c 4.3597
_cell_angle_alpha 90.00
_cell_angle_beta 90.00
_cell_angle_gamma 90.00
loop_
_atom_site_label
_atom_site_type_symbol
_atom_site_fract_x
_atom_site_fract_y
_atom_site_fract_z
_atom_site_occupancy
Mn1 Mn 0.0000 0.0000 0.0000 1
Os1 Os 0.0000 0.0000 0.5000 1
Ru1 Ru 0.5000 0.5000 0.5000 1
```

Computed properties:
Energy relative to the lowest polymorph listed for this composition in kcal/mol of atoms: 38.366
DFT total energy in eV per atom: -8.590

***

# 8
DFT (PBE) results for crystalline MnOs4Ru at its relaxed geometry.

Cell and atoms, written as CIF:
```
data_MnOs4Ru
_chemical_formula_sum 'Mn1 Os4 Ru1'
_symmetry_space_group_name_H-M 'P 1 m 1'
_symmetry_Int_Tables_number 6
_symmetry_space_group_name_Hall 'P -2y'
_cell_length_a 2.7227
_cell_length_b 4.2924
_cell_length_c 7.1772
_cell_angle_alpha 90.00
_cell_angle_beta 100.97
_cell_angle_gamma 90.00
loop_
_atom_site_label
_atom_site_type_symbol
_atom_site_fract_x
_atom_site_fract_y
_atom_site_fract_z
_atom_site_occupancy
Mn1 Mn 0.0000 0.0000 0.0000 1
Os1 Os 0.1060 0.5000 0.2158 1
Os2 Os 0.3370 0.0000 0.6743 1
Os3 Os 0.4445 0.5000 0.8924 1
Os4 Os 0.6641 0.0000 0.3286 1
Ru1 Ru 0.7775 0.5000 0.5583 1
```

Computed properties:
Energy relative to the lowest polymorph listed for this composition in kcal/mol of atoms: 0.000
DFT total energy in eV per atom: -10.568

***

- The highest DFT total energy belongs to which entry?
  number 7